# 1
DFT (PBE) results for CuNi4Bi after structural relaxation.

Cell: 4.8741 4.8741 4.8741 Å, 60.00 60.00 60.00°
Closest atoms and distances in Å follow each position.
Element x y z (fractional)
Cu 0.0000 0.0000 0.0000  12 Ni 2.86, 4 Bi 2.98
Ni 0.1224 0.6259 0.6259  6 Ni 2.42-2.45
Ni 0.6259 0.1224 0.6259  6 Ni 2.42-2.45
Ni 0.6259 0.6259 0.1224  6 Ni 2.42-2.45
Ni 0.6259 0.6259 0.6259  6 Ni 2.42-2.45
Bi 0.2500 0.2500 0.2500  12 Ni 2.86, 4 Cu 2.98

Density ... 10.29 g/cm³
Calculated volume ... 13.6 Å³ per atom
Uncorrected energy ... -30.11 eV per cell
E_form ... 0.165 eV per atom


# 2
DFT (PBE) results for KAc3Pt8 after structural relaxation.

Cell: 9.7649 9.7649 9.7649 Å, 33.52 33.52 33.52°
Closest atoms and distances in Å follow each position.
Element x y z (fractional)
K 0.0000 0.0000 0.0000  12 Pt 3.29-3.36, 4 Ac 3.36-3.38
Ac 0.1216 0.1216 0.1216  12 Pt 3.20-3.41, 1 K 3.36, 3 Ac 3.53
Ac 0.5051 0.5051 0.5051  12 Pt 3.25-3.33, 4 Ac 3.53-3.54
Ac 0.6333 0.6333 0.6333  12 Pt 3.21-3.41, 3 K 3.38, 1 Ac 3.54
Pt 0.0652 0.0652 0.5601  6 Pt 2.79-2.84
Pt 0.0652 0.5601 0.0652  6 Pt 2.79-2.84
Pt 0.0707 0.5641 0.5641  6 Pt 2.78-2.85
Pt 0.3151 0.3151 0.3151  6 Pt 2.83-2.84
Pt 0.5601 0.0652 0.0652  6 Pt 2.79-2.84
Pt 0.5641 0.0707 0.5641  6 Pt 2.78-2.85
Pt 0.5641 0.5641 0.0707  6 Pt 2.78-2.85
Pt 0.8150 0.8150 0.8150  6 Pt 2.80

Density ... 14.98 g/cm³
Calculated volume ... 21.1 Å³ per atom
Uncorrected energy ... -72.34 eV per cell
E_form ... -0.883 eV per atom


# 3
DFT (PBE) results for Ho4MgCd after structural relaxation.

Cell: 5.1170 5.1170 7.4118 Å, 90.00 90.00 90.00°
Closest atoms and distances in Å follow each position.
Element x y z (fractional)
Ho 0.0000 0.5000 0.2425  2 Cd 3.13, 2 Mg 3.19
Ho 0.0000 0.5000 0.7575  2 Cd 3.13, 2 Mg 3.19
Ho 0.5000 0.0000 0.2425  2 Cd 3.13, 2 Mg 3.19
Ho 0.5000 0.0000 0.7575  2 Cd 3.13, 2 Mg 3.19
Mg 0.0000 0.0000 0.5000  8 Ho 3.19
Cd 0.5000 0.5000 0.0000  8 Ho 3.13

Density ... 6.81 g/cm³
Calculated volume ... 32.3 Å³ per atom
Uncorrected energy ... -19.26 eV per cell
E_form ... 0.259 eV per atom


# 4
DFT (PBE) results for HoH2S after structural relaxation.

Cell: 4.0008 4.0008 4.0008 Å, 61.72 61.72 61.72°
Closest atoms and distances in Å follow each position.
Element x y z (fractional)
Ho 0.0000 0.0000 0.0000  2 H 2.23
H 0.2305 0.2305 0.2305  1 Ho 2.23, 3 S 2.45
H 0.7695 0.7695 0.7695  1 Ho 2.23, 3 S 2.45
S 0.5000 0.5000 0.5000  8 H 2.45-2.61

Density ... 7.03 g/cm³
Calculated volume ... 11.8 Å³ per atom
Uncorrected energy ... -17.37 eV per cell


# 5
DFT (PBE) results for Pr5SmY3 after structural relaxation.

Cell: 10.6360 10.6360 11.6606 Å, 119.27 119.27 34.66°
Closest atoms and distances in Å follow each position.
Element x y z (fractional)
Pr 0.0459 0.6678 0.3386  2 Y 3.20-3.49
Pr 0.0962 0.9038 0.7500  2 Sm 3.05-3.29
Pr 0.1257 0.5173 0.6595  5 Pr 3.42-3.69, 2 Y 3.51-3.62, 1 Sm 3.77
Pr 0.3322 0.9541 0.1614  2 Y 3.20-3.49
Pr 0.4827 0.8743 0.8405  5 Pr 3.42-3.69, 2 Y 3.51-3.62, 1 Sm 3.77
Pr 0.5173 0.1257 0.1595  5 Pr 3.42-3.69, 2 Y 3.51-3.62, 1 Sm 3.77
Pr 0.6678 0.0459 0.8386  2 Y 3.20-3.49
Pr 0.8743 0.4827 0.3405  5 Pr 3.42-3.69, 2 Y 3.51-3.62, 1 Sm 3.77
Pr 0.9038 0.0962 0.2500  2 Sm 3.05-3.29
Pr 0.9541 0.3322 0.6614  2 Y 3.20-3.49
Sm 0.3852 0.6148 0.2500  2 Y 3.00, 2 Pr 3.05-3.29
Sm 0.6148 0.3852 0.7500  2 Y 3.00, 2 Pr 3.05-3.29
Y 0.0914 0.5593 0.9725  2 Y 3.44-3.70, 1 Sm 3.44, 4 Pr 3.49-3.63
Y 0.4407 0.9086 0.5275  2 Y 3.44-3.70, 1 Sm 3.44, 4 Pr 3.49-3.63
Y 0.5000 0.5000 0.0000  2 Sm 3.00, 2 Pr 3.20
Y 0.5000 0.5000 0.5000  2 Sm 3.00, 2 Pr 3.20
Y 0.5593 0.0914 0.4725  2 Y 3.44-3.70, 1 Sm 3.44, 4 Pr 3.49-3.63
Y 0.9086 0.4407 0.0275  2 Y 3.44-3.70, 1 Sm 3.44, 4 Pr 3.49-3.63

Density ... 5.78 g/cm³
Calculated volume ... 35.8 Å³ per atom
Uncorrected energy ... -91.22 eV per cell
Energy relative to the lowest polymorph listed for this composition ... 0.000 eV/f.u.
E_form ... 0.266 eV per atom


# 6
DFT (PBE) results for GdPu2Sc after structural relaxation.

Cell: 3.3360 3.3360 9.8286 Å, 90.00 90.00 90.00°
Closest atoms and distances in Å follow each position.
Element x y z (fractional)
Gd 0.0000 0.0000 0.0000  4 Gd 3.34, 8 Pu 3.50
Pu 0.5000 0.5000 0.2630  4 Sc 3.31, 4 Pu 3.34, 4 Gd 3.50
Pu 0.5000 0.5000 0.7370  4 Sc 3.31, 4 Pu 3.34, 4 Gd 3.50
Sc 0.0000 0.0000 0.5000  8 Pu 3.31, 4 Sc 3.34

Density ... 10.48 g/cm³
Calculated volume ... 27.3 Å³ per atom
Uncorrected energy ... -48.34 eV per cell
Energy relative to the lowest polymorph listed for this composition ... 0.010 eV/f.u.
E_form ... 0.185 eV per atom


# 7
DFT (PBE) results for LaNd5Tl2 after structural relaxation.

Cell: 5.6471 5.6471 20.4132 Å, 90.00 90.00 120.00°
Closest atoms and distances in Å follow each position.
Element x y z (fractional)
La 0.3333 0.6667 0.2500  3 Nd 3.26, 2 Tl 3.28
La 0.6667 0.3333 0.7500  3 Nd 3.26, 2 Tl 3.28
Nd 0.0000 0.0000 0.1610  3 Tl 3.57, 7 Nd 3.63-3.78, 3 La 3.73
Nd 0.0000 0.0000 0.3390  3 Tl 3.57, 7 Nd 3.63-3.78, 3 La 3.73
Nd 0.0000 0.0000 0.6610  3 Tl 3.57, 7 Nd 3.63-3.78, 3 La 3.73
Nd 0.0000 0.0000 0.8390  3 Tl 3.57, 7 Nd 3.63-3.78, 3 La 3.73
Nd 0.3333 0.6667 0.5675  4 Tl 3.20-3.29
Nd 0.3333 0.6667 0.7500  3 La 3.26
Nd 0.3333 0.6667 0.9325  4 Tl 3.20-3.29
Nd 0.6667 0.3333 0.0675  4 Tl 3.20-3.29
Nd 0.6667 0.3333 0.2500  3 La 3.26
Nd 0.6667 0.3333 0.4325  4 Tl 3.20-3.29
Tl 0.3333 0.6667 0.0893  7 Nd 3.20-3.57, 1 La 3.28
Tl 0.3333 0.6667 0.4107  7 Nd 3.20-3.57, 1 La 3.28
Tl 0.6667 0.3333 0.5893  7 Nd 3.20-3.57, 1 La 3.28
Tl 0.6667 0.3333 0.9107  7 Nd 3.20-3.57, 1 La 3.28

Density ... 7.47 g/cm³
Calculated volume ... 35.2 Å³ per atom
Uncorrected energy ... -67.70 eV per cell
Energy relative to the lowest polymorph listed for this composition ... 0.777 eV/f.u.
E_form ... -0.044 eV per atom


# 8
DFT (PBE) results for Tb2NdCd2 after structural relaxation.

Cell: 3.7672 5.4501 13.9966 Å, 90.00 97.76 90.00°
Closest atoms and distances in Å follow each position.
Element x y z (fractional)
Tb 0.0468 0.2500 0.0929  8 Cd 3.23-3.31
Tb 0.2360 0.2500 0.4730  2 Cd 3.24, 4 Tb 3.39-3.40
Tb 0.7640 0.7500 0.5270  2 Cd 3.24, 4 Tb 3.39-3.40
Tb 0.9532 0.7500 0.9071  8 Cd 3.23-3.31
Nd 0.1492 0.7500 0.2960  6 Cd 3.32-3.35, 2 Tb 3.67
Nd 0.8508 0.2500 0.7040  6 Cd 3.32-3.35, 2 Tb 3.67
Cd 0.3583 0.7500 0.7169  4 Tb 3.24, 4 Nd 3.32
Cd 0.4510 0.2500 0.9033  6 Tb 3.23-3.31, 2 Nd 3.34-3.35
Cd 0.5490 0.7500 0.0967  6 Tb 3.23-3.31, 2 Nd 3.34-3.35
Cd 0.6417 0.2500 0.2831  4 Tb 3.24, 4 Nd 3.32

Density ... 8.01 g/cm³
Calculated volume ... 28.5 Å³ per atom
Uncorrected energy ... -34.27 eV per cell
Energy relative to the lowest polymorph listed for this composition ... 0.000 eV/f.u.
E_form ... -0.255 eV per atom


# 9
DFT (PBE) results for Cs2BO after structural relaxation.

Cell: 5.4495 5.4495 5.4495 Å, 60.00 60.00 60.00°
Closest atoms and distances in Å follow each position.
Element x y z (fractional)
Cs 0.2500 0.2500 0.2500  4 O 3.34, 4 B 3.34
Cs 0.7500 0.7500 0.7500  4 O 3.34, 4 B 3.34
B 0.0000 0.0000 0.0000  8 Cs 3.34
O 0.5000 0.5000 0.5000  8 Cs 3.34

Density ... 4.25 g/cm³
Calculated volume ... 28.6 Å³ per atom
Uncorrected energy ... -10.39 eV per cell
Formation energy without anion corrections ... 0.7392 eV/atom
Energy relative to the lowest polymorph listed for this composition ... 2.368 eV/f.u.


# 10
DFT (PBE) results for LaMnCoP2 after structural relaxation.

Cell: 6.1224 6.1224 6.1224 Å, 143.59 143.59 52.44°
Closest atoms and distances in Å follow each position.
Element x y z (fractional)
La 0.0000 0.0000 0.0000  8 P 3.16, 4 Mn 3.35, 4 Co 3.35
Mn 0.2500 0.7500 0.5000  4 P 2.22
Co 0.7500 0.2500 0.5000  4 P 2.22
P 0.3520 0.3520 0.0000  2 Mn 2.22, 2 Co 2.22
P 0.6480 0.6480 0.0000  2 Mn 2.22, 2 Co 2.22

Density ... 6.50 g/cm³
Calculated volume ... 16.1 Å³ per atom
Uncorrected energy ... -36.99 eV per cell
E_form ... -0.993 eV per atom


# 11
DFT (PBE) results for LiTb6Pt5 after structural relaxation.

Cell: 8.6832 8.6832 8.6832 Å, 146.98 132.04 59.46°
Closest atoms and distances in Å follow each position.
Element x y z (fractional)
Li 0.0000 0.0000 0.0000  8 Tb 3.08-3.13, 4 Pt 3.35
Tb 0.0857 0.8303 0.2554  7 Pt 2.95-3.22, 1 Li 3.13
Tb 0.2617 0.5000 0.7617  6 Pt 2.92-3.13, 2 Li 3.08
Tb 0.4251 0.1697 0.2554  7 Pt 2.95-3.22, 1 Li 3.13
Tb 0.5749 0.8303 0.7446  7 Pt 2.95-3.22, 1 Li 3.13
Tb 0.7383 0.5000 0.2383  6 Pt 2.92-3.13, 2 Li 3.08
Tb 0.9143 0.1697 0.7446  7 Pt 2.95-3.22, 1 Li 3.13
Pt 0.1498 0.6498 0.5000  8 Tb 2.92-3.22
Pt 0.3248 0.3248 0.0000  8 Tb 2.95-3.13
Pt 0.5000 0.0000 0.5000  8 Tb 2.99-3.09
Pt 0.6752 0.6752 0.0000  8 Tb 2.95-3.13
Pt 0.8502 0.3502 0.5000  8 Tb 2.92-3.22

Density ... 12.24 g/cm³
Calculated volume ... 21.9 Å³ per atom
Uncorrected energy ... -72.36 eV per cell
E_form ... -1.039 eV per atom


# 12
DFT (PBE) results for Sm3Ga2Pb2 after structural relaxation.

Cell: 6.2007 6.2007 8.0989 Å, 111.98 111.98 41.82°
Closest atoms and distances in Å follow each position.
Element x y z (fractional)
Sm 0.0000 0.0000 0.0000  2 Ga 3.13, 4 Pb 3.31
Sm 0.1748 0.1748 0.6424  3 Ga 3.06-3.25, 3 Pb 3.17-3.28
Sm 0.8252 0.8252 0.3576  3 Ga 3.06-3.25, 3 Pb 3.17-3.28
Ga 0.2881 0.2881 0.0808  2 Ga 2.54, 1 Pb 2.81
Ga 0.7119 0.7119 0.9192  2 Ga 2.54, 1 Pb 2.81
Pb 0.4573 0.4573 0.6770  1 Ga 2.81
Pb 0.5427 0.5427 0.3230  1 Ga 2.81

Density ... 8.77 g/cm³
Calculated volume ... 27.2 Å³ per atom
Uncorrected energy ... -31.56 eV per cell
E_form ... -0.562 eV per atom


# 13
DFT (PBE) results for NbSbPb2 after structural relaxation.

Cell: 11.6254 11.6254 11.6254 Å, 158.56 158.56 30.51°
Closest atoms and distances in Å follow each position.
Element x y z (fractional)
Nb 0.0000 0.0000 0.0000  4 Sb 3.06, 4 Pb 3.19
Nb 0.7500 0.2500 0.5000  4 Sb 3.06, 4 Pb 3.19
Sb 0.2500 0.7500 0.5000  4 Nb 3.06, 4 Pb 3.20
Sb 0.5000 0.5000 0.0000  4 Nb 3.06, 4 Pb 3.20
Pb 0.1209 0.6250 0.9959  4 Pb 3.03-3.08, 2 Nb 3.19, 2 Sb 3.20
Pb 0.3750 0.3709 0.4959  4 Pb 3.03-3.08, 2 Nb 3.19, 2 Sb 3.20
Pb 0.6291 0.1250 0.0041  4 Pb 3.03-3.08, 2 Nb 3.19, 2 Sb 3.20
Pb 0.8750 0.8791 0.5041  4 Pb 3.03-3.08, 2 Nb 3.19, 2 Sb 3.20

Density ... 9.95 g/cm³
Calculated volume ... 26.2 Å³ per atom
Uncorrected energy ... -39.38 eV per cell
Formation energy without anion corrections ... 0.4793 eV/atom


# 14
DFT (PBE) results for PmMgSc2Pd4 after structural relaxation.

Cell: 8.7072 8.7072 8.7072 Å, 30.90 30.90 30.90°
Closest atoms and distances in Å follow each position.
Element x y z (fractional)
Pm 0.0000 0.0000 0.0000  8 Pd 3.05-3.16
Mg 0.5000 0.5000 0.5000  8 Pd 2.69-2.85
Sc 0.2406 0.2406 0.2406  7 Pd 2.81-2.82
Sc 0.7594 0.7594 0.7594  7 Pd 2.81-2.82
Pd 0.1270 0.1270 0.1270  4 Sc 2.81-2.82, 3 Mg 2.85
Pd 0.3918 0.3918 0.3918  1 Mg 2.69, 3 Sc 2.81
Pd 0.6082 0.6082 0.6082  1 Mg 2.69, 3 Sc 2.81
Pd 0.8730 0.8730 0.8730  4 Sc 2.81-2.82, 3 Mg 2.85

Density ... 7.36 g/cm³
Calculated volume ... 19.3 Å³ per atom
Uncorrected energy ... -46.16 eV per cell
E_form ... -0.798 eV per atom


# 15
DFT (PBE) results for ZrMn17Ir after structural relaxation.

Cell: 6.1428 6.1428 6.1428 Å, 81.80 81.80 81.80°
Closest atoms and distances in Å follow each position.
Element x y z (fractional)
Zr 0.0000 0.0000 0.0000  19 Mn 2.90-3.16
Mn 0.0148 0.0148 0.4826  8 Mn 2.35-2.57
Mn 0.0148 0.4826 0.0148  8 Mn 2.35-2.57
Mn 0.1507 0.6769 0.6769  10 Mn 2.31-2.55
Mn 0.3112 0.3112 0.7796  9 Mn 2.36-2.55
Mn 0.3112 0.7796 0.3112  9 Mn 2.36-2.55
Mn 0.3631 0.6437 0.9635  5 Mn 2.26-2.44
Mn 0.3631 0.9635 0.6437  5 Mn 2.26-2.44
Mn 0.4826 0.0148 0.0148  8 Mn 2.35-2.57
Mn 0.5618 0.5618 0.5618  7 Mn 2.30-2.55
Mn 0.6437 0.3631 0.9635  5 Mn 2.26-2.44
Mn 0.6437 0.9635 0.3631  5 Mn 2.26-2.44
Mn 0.6769 0.1507 0.6769  10 Mn 2.31-2.55
Mn 0.6769 0.6769 0.1507  10 Mn 2.31-2.55
Mn 0.7526 0.7526 0.7526  4 Mn 2.30-2.41
Mn 0.7796 0.3112 0.3112  9 Mn 2.36-2.55
Mn 0.9635 0.3631 0.6437  5 Mn 2.26-2.44
Mn 0.9635 0.6437 0.3631  5 Mn 2.26-2.44
Ir 0.3229 0.3229 0.3229  13 Mn 2.75-2.88

Density ... 8.97 g/cm³
Calculated volume ... 11.9 Å³ per atom
Uncorrected energy ... -172.05 eV per cell
E_form ... 0.065 eV per atom


# 16
DFT (PBE) results for SmY4Er2Mg after structural relaxation.

Cell: 4.9761 4.9761 10.0083 Å, 90.00 90.00 90.00°
Closest atoms and distances in Å follow each position.
Element x y z (fractional)
Sm 0.0000 0.0000 0.0000  4 Er 3.52, 8 Y 3.56
Y 0.0000 0.5000 0.2545  2 Mg 3.50, 4 Er 3.50-3.56, 4 Y 3.52, 2 Sm 3.56
Y 0.0000 0.5000 0.7455  2 Mg 3.50, 4 Er 3.50-3.56, 4 Y 3.52, 2 Sm 3.56
Y 0.5000 0.0000 0.2545  2 Mg 3.50, 4 Er 3.50-3.56, 4 Y 3.52, 2 Sm 3.56
Y 0.5000 0.0000 0.7455  2 Mg 3.50, 4 Er 3.50-3.56, 4 Y 3.52, 2 Sm 3.56
Er 0.0000 0.0000 0.5000  8 Y 3.50, 4 Mg 3.52
Er 0.5000 0.5000 0.0000  4 Sm 3.52, 8 Y 3.56
Mg 0.5000 0.5000 0.5000  8 Y 3.50, 4 Er 3.52

Density ... 5.79 g/cm³
Calculated volume ... 31.0 Å³ per atom
Uncorrected energy ... -41.12 eV per cell
E_form ... 0.022 eV per atom


# 17
DFT (PBE) results for CrWCl2 after structural relaxation.

Cell: 2.8848 2.8848 8.4898 Å, 90.00 90.00 90.00°
Closest atoms and distances in Å follow each position.
Element x y z (fractional)
Cr 0.0000 0.0000 0.0000  4 Cl 2.50, 4 W 2.74
W 0.5000 0.5000 0.2148  4 Cl 2.63, 4 Cr 2.74, 4 W 2.88
Cl 0.0000 0.0000 0.4099  4 W 2.63, 4 Cl 2.88
Cl 0.5000 0.5000 0.8302  4 Cr 2.50

Density ... 7.21 g/cm³
Calculated volume ... 17.7 Å³ per atom
Uncorrected energy ... -25.90 eV per cell
Formation energy without anion corrections ... 0.0927 eV/atom
Energy relative to the lowest polymorph listed for this composition ... 1.019 eV/f.u.


# 18
DFT (PBE) results for LiLa8Cd2 after structural relaxation.

Cell: 8.8459 8.8459 8.8459 Å, 143.49 115.96 76.03°
Closest atoms and distances in Å follow each position.
Element x y z (fractional)
Li 0.0000 0.0000 0.0000  8 La 3.34-3.46
La 0.1335 0.6335 0.5000  2 Li 3.34, 2 Cd 3.46, 5 La 3.59-3.72
La 0.1442 0.8505 0.2938  3 Cd 3.32-3.51, 1 Li 3.46, 3 La 3.50-3.59
La 0.3422 0.5000 0.8422  1 La 2.96
La 0.4433 0.1495 0.2938  3 Cd 3.32-3.51, 1 Li 3.46, 3 La 3.50-3.59
La 0.5567 0.8505 0.7062  3 Cd 3.32-3.51, 1 Li 3.46, 3 La 3.50-3.59
La 0.6578 0.5000 0.1578  1 La 2.96
La 0.8558 0.1495 0.7062  3 Cd 3.32-3.51, 1 Li 3.46, 3 La 3.50-3.59
La 0.8665 0.3665 0.5000  2 Li 3.34, 2 Cd 3.46, 5 La 3.59-3.72
Cd 0.2826 0.2826 0.0000  10 La 3.32-3.51
Cd 0.7174 0.7174 0.0000  10 La 3.32-3.51

Density ... 6.15 g/cm³
Calculated volume ... 32.9 Å³ per atom
Uncorrected energy ... -43.65 eV per cell
E_form ... -0.044 eV per atom


# 19
DFT (PBE) results for LaTm2Al2Hg2 after structural relaxation.

Cell: 9.8978 9.8978 9.8978 Å, 27.37 27.37 27.37°
Closest atoms and distances in Å follow each position.
Element x y z (fractional)
La 0.0000 0.0000 0.0000  6 Al 3.36, 6 Hg 3.64, 2 Tm 3.68
Tm 0.1290 0.1290 0.1290  3 Hg 2.98, 3 Al 3.19
Tm 0.8710 0.8710 0.8710  3 Hg 2.98, 3 Al 3.19
Al 0.4030 0.4030 0.4030  3 Hg 2.74
Al 0.5970 0.5970 0.5970  3 Hg 2.74
Hg 0.2481 0.2481 0.2481  3 Al 2.74, 3 Tm 2.98
Hg 0.7519 0.7519 0.7519  3 Al 2.74, 3 Tm 2.98

Density ... 8.56 g/cm³
Calculated volume ... 25.8 Å³ per atom
Uncorrected energy ... -24.05 eV per cell
E_form ... -0.299 eV per atom


# 20
DFT (PBE) results for CaSmRh4 after structural relaxation.

Cell: 5.3696 5.3696 5.3696 Å, 60.00 60.00 60.00°
Closest atoms and distances in Å follow each position.
Element x y z (fractional)
Ca 0.0000 0.0000 0.0000  12 Rh 3.15, 4 Sm 3.29
Sm 0.2500 0.2500 0.2500  12 Rh 3.15, 4 Ca 3.29
Rh 0.1248 0.6251 0.6251  6 Rh 2.68-2.69
Rh 0.6251 0.1248 0.6251  6 Rh 2.68-2.69
Rh 0.6251 0.6251 0.1248  6 Rh 2.68-2.69
Rh 0.6251 0.6251 0.6251  6 Rh 2.68-2.69

Density ... 9.13 g/cm³
Calculated volume ... 18.2 Å³ per atom
Uncorrected energy ... -39.62 eV per cell
E_form ... -0.582 eV per atom